Compound: Pr3NdCu4
Source: Alexandria via LeMat-Bulk
Functional: PBE
Structure: relaxed

Properties
calculated formation energy: -0.12 eV/atom
crystal system: tetragonal

a b c (Å): 5.1268 7.1868 10.2446
angles (deg): 90.00 90.00 90.00
Closest atoms and distances in Å follow each position.
Atoms (fractional coordinates):
Cu1 0.0002 0.2536 0.2500  2 Nd 3.11, 6 Pr 3.12-3.15
Cu2 0.9998 0.7464 0.7500  2 Nd 3.11, 6 Pr 3.12-3.15
Cu3 0.5000 0.2529 0.0000  6 Pr 3.12-3.14, 2 Nd 3.12
Cu4 0.0002 0.7464 0.2500  2 Nd 3.11, 6 Pr 3.12-3.15
Cu5 0.5000 0.7471 0.5000  6 Pr 3.12-3.14, 2 Nd 3.12
Cu6 0.9998 0.2536 0.7500  2 Nd 3.11, 6 Pr 3.12-3.15
Cu7 0.5000 0.7471 0.0000  6 Pr 3.12-3.14, 2 Nd 3.12
Cu8 0.5000 0.2529 0.5000  6 Pr 3.12-3.14, 2 Nd 3.12
Pr1 0.5003 0.5000 0.2500  8 Cu 3.12
Pr2 0.0000 0.0000 0.0000  8 Cu 3.14
Pr3 0.4999 0.0000 0.2500  8 Cu 3.14-3.15
Pr4 0.5001 0.0000 0.7500  8 Cu 3.14-3.15
Pr5 0.0000 0.0000 0.5000  8 Cu 3.14
Pr6 0.4997 0.5000 0.7500  8 Cu 3.12
Nd1 0.0000 0.5000 0.0000  8 Cu 3.11-3.12
Nd2 0.0000 0.5000 0.5000  8 Cu 3.11-3.12

Compound: La4MgIn
Source: Alexandria via LeMat-Bulk
Functional: PBE
Structure: relaxed

Properties
calculated formation energy: 0.04 eV/atom
crystal system: orthorhombic

a b c (Å): 5.5989 6.8918 11.8899
angles (deg): 90.00 103.62 90.00
Closest atoms and distances in Å follow each position.
Atoms (fractional coordinates):
La1 0.5731 0.3866 0.1461  3 Mg 3.32-3.52, 2 In 3.46, 1 La 3.49
La2 0.1337 0.7787 0.2675  2 Mg 3.26, 2 In 3.42-3.54
La3 0.2896 0.5611 0.5792  3 La 3.19-3.25, 1 Mg 3.42, 2 In 3.44
La4 0.2814 0.0229 0.5627  4 La 3.19-3.49, 3 In 3.42-3.55
La5 0.7104 0.0611 0.4208  3 La 3.19-3.25, 1 Mg 3.42, 2 In 3.44
La6 0.8663 0.2787 0.7325  2 Mg 3.26, 2 In 3.42-3.54
La7 0.7186 0.5229 0.4373  4 La 3.19-3.49, 3 In 3.42-3.55
La8 0.4269 0.8866 0.8539  3 Mg 3.32-3.52, 2 In 3.46, 1 La 3.49
In1 0.8441 0.7873 0.6882  10 La 3.42-3.62
In2 0.1559 0.2873 0.3118  10 La 3.42-3.62
Mg1 0.5707 0.8967 0.1415  6 La 3.26-3.52
Mg2 0.4293 0.3967 0.8585  6 La 3.26-3.52

Compound: UGa2Au3
Source: Alexandria via LeMat-Bulk
Functional: PBE
Structure: relaxed

Properties
calculated formation energy: -0.22 eV/atom
crystal system: monoclinic

a b c (Å): 4.5646 9.1215 6.7989
angles (deg): 119.42 90.00 104.49
Closest atoms and distances in Å follow each position.
Atoms (fractional coordinates):
Au1 0.9381 0.8762 0.5761  3 Ga 2.62-2.66, 1 Au 2.85
Au2 0.6876 0.3752 0.4375  2 Ga 2.59-2.71, 1 Au 2.88
Au3 0.6415 0.2830 0.7869  4 Ga 2.69-2.75, 1 Au 2.88
Au4 0.0619 0.1238 0.4239  3 Ga 2.62-2.66, 1 Au 2.85
Au5 0.3124 0.6248 0.5625  2 Ga 2.59-2.71, 1 Au 2.88
Au6 0.3585 0.7170 0.2131  4 Ga 2.69-2.75, 1 Au 2.88
Ga1 0.5094 0.0188 0.2071  4 Au 2.62-2.71, 1 Ga 2.66
Ga2 0.4906 0.9812 0.7929  4 Au 2.62-2.71, 1 Ga 2.66
Ga3 0.2256 0.4512 0.7757  5 Au 2.59-2.75
Ga4 0.7744 0.5488 0.2243  5 Au 2.59-2.75
U1 0.1253 0.2506 0.0678  7 Au 3.08-3.31, 5 Ga 3.14-3.26
U2 0.8747 0.7494 0.9322  7 Au 3.08-3.31, 5 Ga 3.14-3.26

Compound: Sr3Mg8Cd
Source: Alexandria via LeMat-Bulk
Functional: PBE
Structure: relaxed

Properties
calculated formation energy: -0.06 eV/atom
crystal system: trigonal

a b c (Å): 6.2926 6.2926 10.8812
angles (deg): 73.19 73.19 60.00
Closest atoms and distances in Å follow each position.
Atoms (fractional coordinates):
Mg1 0.0642 0.5630 0.8099  6 Mg 3.11-3.17
Mg2 0.5578 0.0614 0.3193  6 Mg 3.11-3.19
Mg3 0.5630 0.5630 0.8099  6 Mg 3.11-3.17
Mg4 0.3123 0.3123 0.0631  6 Mg 3.17-3.19
Mg5 0.8119 0.8119 0.5644  6 Mg 3.11
Mg6 0.0614 0.0614 0.3193  6 Mg 3.11-3.19
Mg7 0.5630 0.0642 0.8099  6 Mg 3.11-3.17
Mg8 0.0614 0.5578 0.3193  6 Mg 3.11-3.19
Cd1 0.1297 0.1297 0.6110  12 Mg 3.49-3.75, 4 Sr 3.77-3.83
Sr1 0.0053 0.0053 0.9841  12 Mg 3.62-3.90, 1 Cd 3.83, 3 Sr 3.92
Sr2 0.6238 0.6238 0.1285  12 Mg 3.69-3.74, 4 Sr 3.92-3.93
Sr3 0.4962 0.4962 0.5113  12 Mg 3.56-3.71, 3 Cd 3.77, 1 Sr 3.93

Compound: BaAsRh3
Source: Alexandria via LeMat-Bulk
Functional: PBE
Structure: relaxed

Properties
calculated formation energy: 1.85 eV/atom
crystal system: cubic

a b c (Å): 5.0439 5.0439 5.0439
angles (deg): 90.00 90.00 90.00
Closest atoms and distances in Å follow each position.
Atoms (fractional coordinates):
Ba1 0.0000 0.0000 0.0000  6 Rh 2.52
Rh1 0.0000 0.5000 0.0000  2 Ba 2.52
Rh2 0.0000 0.0000 0.5000  2 Ba 2.52
Rh3 0.5000 0.0000 0.0000  2 Ba 2.52
As1 0.5000 0.5000 0.5000  12 Rh 3.57

Compound: BaIn2F
Source: Alexandria via LeMat-Bulk
Functional: PBE
Structure: relaxed

Properties
crystal system: tetragonal
uncorrected formation energy: -1.30 eV/atom

a b c (Å): 4.0914 4.0914 14.5206
angles (deg): 81.90 81.90 90.00
Closest atoms and distances in Å follow each position.
Atoms (fractional coordinates):
In1 0.8750 0.8746 0.7500  4 In 2.89-2.90
In2 0.1254 0.6250 0.2500  4 In 2.89-2.90
In3 0.3750 0.3754 0.7500  4 In 2.89-2.90
In4 0.6246 0.1250 0.2500  4 In 2.89-2.90
F1 0.2500 0.7500 0.5000  4 Ba 2.89
F2 0.5000 0.5000 0.0000  4 Ba 2.89
Ba1 0.0000 0.0000 0.0000  4 F 2.89
Ba2 0.7500 0.2500 0.5000  4 F 2.89

Compound: CsK4Rb2Hg
Source: Alexandria via LeMat-Bulk
Functional: PBE
Structure: relaxed

Properties
calculated formation energy: -0.02 eV/atom
crystal system: monoclinic

a b c (Å): 5.6215 7.2013 15.7061
angles (deg): 62.73 90.00 90.00
Closest atoms and distances in Å follow each position.
Atoms (fractional coordinates):
Rb1 0.0000 0.0000 0.0000  4 Cs 4.57, 2 K 5.09
Rb2 0.5000 0.0000 0.5000  8 K 4.32-4.55, 4 Hg 4.57
Hg1 0.0000 0.5000 0.5000  4 K 3.90
K1 0.5000 0.2985 0.6934  2 Hg 3.90
K2 0.5000 0.7015 0.3066  2 Hg 3.90
K3 0.0000 0.2492 0.2648  2 Rb 4.32, 4 K 4.57-4.64, 2 Cs 4.64, 1 Hg 4.80
K4 0.0000 0.7508 0.7352  2 Rb 4.32, 4 K 4.57-4.64, 2 Cs 4.64, 1 Hg 4.80
Cs1 0.5000 0.5000 0.0000  4 Rb 4.57, 4 K 4.64

Compound: Hf2PaC
Source: Alexandria via LeMat-Bulk
Functional: PBE
Structure: relaxed

Properties
calculated formation energy: -0.24 eV/atom
crystal system: trigonal

a b c (Å): 3.1906 3.1906 9.0373
angles (deg): 79.83 79.83 60.00
Closest atoms and distances in Å follow each position.
Atoms (fractional coordinates):
C1 0.5000 0.5000 0.5000  6 Hf 2.24
Hf1 0.8814 0.8814 0.3559  3 C 2.24
Hf2 0.1186 0.1186 0.6441  3 C 2.24
Pa1 0.0000 0.0000 0.0000  2 Hf 3.15, 6 Pa 3.19

The theoretical density results, record by record, are as follows: 7.2, 5.2, 13.6, 2.7, 6.7, 5.4, 1.9, 12.8 g cm⁻³.
The M_tot results, record by record, are as follows: 0.000, 0.000, 0.434, 0.000, 0.000, 0.000, 0.000, 0.075 μB per atom.